Below is a relaxed structure of Ca3SiBr2, with properties calculated at the GGA-PBE level.

Properties
* DFT total energy: -3.532 eV/atom
* space-group type: Cm (8)
* theoretical density: 2.5 g cm⁻³
* energy above the lowest structure with this stoichiometry: 149 meV/atom
* total magnetization: 0.00 μB per formula unit
* uncorrected formation energy: -1.070 eV/atom

a b c (Å): 4.587 4.587 11.771
angles (deg): 101.14 101.14 59.71
Element x y z (fractional)
1 Ca 0.000 0.000 0.000
2 Ca 0.541 0.541 0.591
3 Ca 0.737 0.737 0.218
4 Si 0.369 0.369 0.110
5 Br 0.168 0.168 0.470
6 Br 0.916 0.916 0.718